Record 1
Below is crystalline V2SiBr at its relaxed geometry, with properties calculated at the PBE-GGA level.

Cell lengths 4.374, 4.374, 4.374 Å; angles 60.00, 60.00, 60.00 degrees
Last column: magnetic moment on the atom in μB.
Sites, in units of the cell vectors:
Si1 0.000 0.000 0.000  -0.06
V1 0.750 0.750 0.750  0.57
V2 0.250 0.250 0.250  0.57
Br1 0.500 0.500 0.500  -0.04

Output
Its uncorrected formation energy is 345 meV per atom. Its total magnetic moment is 1.19 μB/f.u. The value obtained for the energy above the most stable polymorph in this dataset is 0 meV per atom. The value obtained for the uncorrected energy is -23.96 eV/f.u.

***

Record 2
Below is crystalline PrY3Hg6 at its relaxed geometry, with properties calculated at the PBE-GGA level.

Cell lengths 5.211, 9.249, 11.268 Å; angles 107.11, 90.00, 90.00 degrees
Sites, in units of the cell vectors:
Hg1 0.250 0.064 0.908
Pr1 0.250 0.933 0.615
Y1 0.250 0.352 0.805
Hg2 0.750 0.745 0.479
Hg3 0.750 0.536 0.907
Hg4 0.750 0.858 0.794
Y2 0.750 0.488 0.614
Hg5 0.250 0.142 0.206
Y3 0.250 0.770 0.995
Hg6 0.750 0.358 0.291
Hg7 0.250 0.464 0.093
Hg8 0.750 0.174 0.692
Hg9 0.750 0.936 0.092
Hg10 0.250 0.642 0.709
Y4 0.750 0.230 0.005
Hg11 0.250 0.255 0.521
Y5 0.250 0.512 0.386
Hg12 0.250 0.826 0.308
Pr2 0.750 0.067 0.385
Y6 0.750 0.648 0.195

Output
Its total magnetic moment is 0.00 μB/f.u. The value obtained for the uncorrected energy is -30.47 eV/f.u. The energy of formation from the pure elements comes out at -4.5 eV/f.u.